Compound: CeB4Ru12
Source: Alexandria via LeMat-Bulk
Functional: PBE
Structure: relaxed

## Properties
**Calculated formation energy**: 0.219 eV/atom
**VASP energy**: -8.25 eV/atom
**Total magnetization**: 0.01 μB per cell

abc: 7.7418 7.7418 7.7418
angles: 90.00 90.00 90.00
Closest atoms and distances in Å follow each position.
Space group Im-3 (No. 204)
One atom of each set of equivalent atoms:
Ce (0.0000, 0.0000, 0.0000) (multiplicity 2)  12 Ru 2.91
B (0.2500, 0.2500, 0.2500) (multiplicity 8)  6 Ru 2.14
Ru (0.0000, 0.1678, 0.3365) (multiplicity 24)  2 B 2.14